1.
# PtWI2

An optimized crystal structure of PtWI2 (PBE, Alexandria via LeMat-Bulk).

a = 6.0410 Å, b = 6.0410 Å, c = 12.5166 Å
α = 90.00°, β = 90.00°, γ = 90.00°
Closest atoms and distances in Å follow each position.
Space group I-42d (No. 122)
One atom of each set of equivalent atoms:
Pt  0.0000  0.0000  0.0000 (multiplicity 4)  4 I 2.67
W  0.0000  0.0000  0.5000 (multiplicity 4)  4 I 2.63
I  0.2436  0.2500  0.6250 (multiplicity 8)  2 W 2.63, 2 Pt 2.67

Properties
ρ = 9.20 Mg/m³
Distance to the lowest polymorph of the same formula = 0 meV/atom

---

2.
# PtWI2

An optimized crystal structure of PtWI2 (PBE, Alexandria via LeMat-Bulk).

a = 6.9120 Å, b = 6.9120 Å, c = 6.9120 Å
α = 90.00°, β = 90.00°, γ = 90.00°
Closest atoms and distances in Å follow each position.
Space group Fm-3m (No. 225)
One atom of each set of equivalent atoms:
Pt  0.0000  0.0000  0.0000 (multiplicity 4)  8 I 2.99
W  0.0000  0.0000  0.5000 (multiplicity 4)  8 I 2.99
I  0.2500  0.2500  0.2500 (multiplicity 8)  4 W 2.99, 4 Pt 2.99

Properties
ρ = 12.73 Mg/m³
Distance to the lowest polymorph of the same formula = 58 meV/atom

---

3.
# Pt3WI

An optimized crystal structure of Pt3WI (PBE, Alexandria via LeMat-Bulk).

a = 4.9264 Å, b = 4.9264 Å, c = 4.9264 Å
α = 90.00°, β = 90.00°, γ = 90.00°
Closest atoms and distances in Å follow each position.
Space group Pm-3m (No. 221)
One atom of each set of equivalent atoms:
Pt  0.0000  0.0000  0.5000 (multiplicity 3)  2 W 2.46
W  0.0000  0.0000  0.0000 (multiplicity 1)  6 Pt 2.46
I  0.5000  0.5000  0.5000 (multiplicity 1)  12 Pt 3.48

Properties
ρ = 12.44 Mg/m³
Distance to the lowest polymorph of the same formula = 0 meV/atom

---

4.
# ZrPt2WI

An optimized crystal structure of ZrPt2WI (PBE, Alexandria via LeMat-Bulk).

a = 5.0093 Å, b = 5.0093 Å, c = 5.3830 Å
α = 90.00°, β = 90.00°, γ = 90.00°
Closest atoms and distances in Å follow each position.
Space group P4/mmm (No. 123)
One atom of each set of equivalent atoms:
Zr  0.0000  0.0000  0.0000 (multiplicity 1)  4 Pt 2.50, 2 I 2.69
Pt  0.0000  0.5000  0.0000 (multiplicity 2)  2 Zr 2.50
W  0.5000  0.5000  0.5000 (multiplicity 1)  4 I 3.54, 8 Pt 3.68
I  0.0000  0.0000  0.5000 (multiplicity 1)  2 Zr 2.69

Properties
ρ = 9.74 Mg/m³

---

no.,raw formation energy (eV per atom),N(E_F) (states/eV/cell),spin magnetization (μB per atom)
1,1.1707,16.0,0.00
2,1.2282,14.7,0.00
3,1.1860,7.6,0.00
4,1.4787,3.8,0.83